This record from the Alexandria database describes TiMnO2 after structural relaxation. The functional is PBE with a Hubbard U.

Structure (CIF):
```
data_TiMnO2
_cell_length_a 3.8146
_cell_length_b 3.8146
_cell_length_c 3.8146
_cell_angle_alpha 60.00
_cell_angle_beta 60.00
_cell_angle_gamma 60.00
_symmetry_space_group_name_H-M 'P 1'
_symmetry_Int_Tables_number 1
_symmetry_space_group_name_Hall 'P 1'
loop_
_atom_site_label
_atom_site_type_symbol
_atom_site_fract_x
_atom_site_fract_y
_atom_site_fract_z
Ti1 Ti 0.0000 0.0000 0.0000
O1 O 0.2500 0.2500 0.2500
O2 O 0.7500 0.7500 0.7500
Mn1 Mn 0.5000 0.5000 0.5000
```

relative energy among the computed polymorphs = 453 meV/atom
symmetry = Fm-3m (225)
total DFT energy (no corrections) = -7.84 eV per atom
ρ = 5.70 Mg/m³